1.
# GdHoBeCd, relaxed, DFT PBE-GGA
data_GdHoBeCd
_cell_length_a 7.2220
_cell_length_b 7.2220
_cell_length_c 7.2220
_cell_angle_alpha 90.00
_cell_angle_beta 90.00
_cell_angle_gamma 90.00
_space_group_name_H-M_alt 'F -4 3 m'
_space_group_IT_number 216
_space_group_name_Hall 'F -4 2 3'
loop_
_atom_site_label
_atom_site_type_symbol
_atom_site_fract_x
_atom_site_fract_y
_atom_site_fract_z
Gd1 Gd 0.0000 0.0000 0.0000
Ho1 Ho 0.0000 0.0000 0.5000
Be1 Be 0.2500 0.2500 0.2500
Cd1 Cd 0.2500 0.2500 0.7500
# Mass density in g/cm3: 7.822
# Calculated total energy in eV per atom: -5.86
# N(E_F) in states/eV/f.u.: 2.956

=====

2.
# Pm2SmTe2, relaxed, DFT PBE-GGA
data_Pm2SmTe2
_cell_length_a 4.1548
_cell_length_b 6.2479
_cell_length_c 12.9560
_cell_angle_alpha 90.00
_cell_angle_beta 90.00
_cell_angle_gamma 90.00
_space_group_name_H-M_alt 'I m m m'
_space_group_IT_number 71
_space_group_name_Hall '-I 2 2'
loop_
_atom_site_label
_atom_site_type_symbol
_atom_site_fract_x
_atom_site_fract_y
_atom_site_fract_z
Pm1 Pm 0.0000 0.0000 0.1414
Sm1 Sm 0.0000 0.0000 0.5000
Te1 Te 0.0000 0.5000 0.1788
# Mass density in g/cm3: 6.868
# N(E_F) in states/eV/f.u.: 4.394
# ΔE_f (raw) in eV per atom: -0.98

=====

3.
# BaCd2Pb, relaxed, DFT PBE-GGA
data_BaCd2Pb
_cell_length_a 3.9681
_cell_length_b 3.9681
_cell_length_c 8.0649
_cell_angle_alpha 90.00
_cell_angle_beta 90.00
_cell_angle_gamma 90.00
_space_group_name_H-M_alt 'P 4 m m'
_space_group_IT_number 99
_space_group_name_Hall 'P 4 -2'
loop_
_atom_site_label
_atom_site_type_symbol
_atom_site_fract_x
_atom_site_fract_y
_atom_site_fract_z
Ba1 Ba 0.0000 0.0000 0.0000
Cd1 Cd 0.0000 0.0000 0.4794
Cd2 Cd 0.5000 0.5000 0.2950
Pb1 Pb 0.5000 0.5000 0.6904
# Mass density in g/cm3: 7.445
# Calculated total energy in eV per atom: -2.07
# N(E_F) in states/eV/f.u.: 2.253

=====

4.
# LiMg6In5, relaxed, DFT PBE-GGA
data_LiMg6In5
_cell_length_a 9.8435
_cell_length_b 13.8579
_cell_length_c 4.5160
_cell_angle_alpha 90.00
_cell_angle_beta 116.98
_cell_angle_gamma 90.00
_space_group_name_H-M_alt 'C 1 2/m 1'
_space_group_IT_number 12
_space_group_name_Hall '-C 2y'
loop_
_atom_site_label
_atom_site_type_symbol
_atom_site_fract_x
_atom_site_fract_y
_atom_site_fract_z
Li1 Li 0.0000 0.0000 0.0000
Mg1 Mg 0.2443 0.5000 0.2432
Mg2 Mg 0.2505 0.1666 0.2505
In1 In 0.0000 0.1530 0.5000
In2 In 0.0000 0.3253 0.0000
In3 In 0.0000 0.5000 0.5000
# Mass density in g/cm3: 4.397
# Calculated total energy in eV per atom: -2.20
# N(E_F) in states/eV/f.u.: 4.861

=====

5.
# ScSbAu2, relaxed, DFT PBE-GGA
data_ScSbAu2
_cell_length_a 4.0952
_cell_length_b 4.0952
_cell_length_c 20.8652
_cell_angle_alpha 90.00
_cell_angle_beta 90.00
_cell_angle_gamma 90.00
_space_group_name_H-M_alt 'I -4 2 d'
_space_group_IT_number 122
_space_group_name_Hall 'I -4 2bw'
loop_
_atom_site_label
_atom_site_type_symbol
_atom_site_fract_x
_atom_site_fract_y
_atom_site_fract_z
Sc1 Sc 0.0000 0.0000 0.0000
Sb1 Sb 0.0000 0.0000 0.5000
Au1 Au 0.2478 0.2500 0.1250
# Mass density in g/cm3: 10.642
# N(E_F) in states/eV/f.u.: 2.082
# ΔE_f (raw) in eV per atom: -0.39

=====

6.
# Gd2HgSb, relaxed, DFT PBE-GGA
data_Gd2HgSb
_cell_length_a 7.5636
_cell_length_b 7.5636
_cell_length_c 7.5636
_cell_angle_alpha 90.00
_cell_angle_beta 90.00
_cell_angle_gamma 90.00
_space_group_name_H-M_alt 'F m -3 m'
_space_group_IT_number 225
_space_group_name_Hall '-F 4 2 3'
loop_
_atom_site_label
_atom_site_type_symbol
_atom_site_fract_x
_atom_site_fract_y
_atom_site_fract_z
Gd1 Gd 0.2500 0.2500 0.2500
Hg1 Hg 0.0000 0.0000 0.0000
Sb1 Sb 0.0000 0.0000 0.5000
# Mass density in g/cm3: 9.776
# Polymorph energy (0 for the lowest one) in meV/atom: 70
# N(E_F) in states/eV/f.u.: 4.387
# ΔE_f (raw) in eV per atom: -0.68

=====

7.
# Ti2InRh, relaxed, DFT PBE-GGA
data_Ti2InRh
_cell_length_a 7.3860
_cell_length_b 7.3860
_cell_length_c 5.4934
_cell_angle_alpha 90.00
_cell_angle_beta 90.00
_cell_angle_gamma 90.00
_space_group_name_H-M_alt 'I -4 2 d'
_space_group_IT_number 122
_space_group_name_Hall 'I -4 2bw'
loop_
_atom_site_label
_atom_site_type_symbol
_atom_site_fract_x
_atom_site_fract_y
_atom_site_fract_z
Ti1 Ti 0.1995 0.7500 0.1250
In1 In 0.0000 0.0000 0.5000
Rh1 Rh 0.0000 0.0000 0.0000
# Mass density in g/cm3: 6.948
# Calculated total energy in eV per atom: -6.55
# N(E_F) in states/eV/f.u.: 5.009

=====

8.
# Ag4Mo5, relaxed, DFT PBE-GGA
data_Ag4Mo5
_cell_length_a 8.5777
_cell_length_b 8.5777
_cell_length_c 4.0396
_cell_angle_alpha 90.00
_cell_angle_beta 90.00
_cell_angle_gamma 90.00
_space_group_name_H-M_alt 'I 4/m m m'
_space_group_IT_number 139
_space_group_name_Hall '-I 4 2'
loop_
_atom_site_label
_atom_site_type_symbol
_atom_site_fract_x
_atom_site_fract_y
_atom_site_fract_z
Ag1 Ag 0.0000 0.3342 0.0000
Mo1 Mo 0.0000 0.0000 0.0000
Mo2 Mo 0.1567 0.1567 0.5000
# Mass density in g/cm3: 10.181
# Calculated total energy in eV per atom: -6.83
# N(E_F) in states/eV/f.u.: 7.330

=====

9.
# RbVSN2, relaxed, DFT PBE-GGA
data_RbVSN2
_cell_length_a 4.1071
_cell_length_b 4.1071
_cell_length_c 5.8714
_cell_angle_alpha 90.00
_cell_angle_beta 90.00
_cell_angle_gamma 90.00
_space_group_name_H-M_alt 'P 4/m m m'
_space_group_IT_number 123
_space_group_name_Hall '-P 4 2'
loop_
_atom_site_label
_atom_site_type_symbol
_atom_site_fract_x
_atom_site_fract_y
_atom_site_fract_z
Rb1 Rb 0.0000 0.0000 0.0000
V1 V 0.5000 0.5000 0.5000
S1 S 0.0000 0.0000 0.5000
N1 N 0.0000 0.5000 0.0000
# Mass density in g/cm3: 3.294
# Polymorph energy (0 for the lowest one) in meV/atom: 2604
# N(E_F) in states/eV/f.u.: 6.423
# ΔE_f (raw) in eV per atom: 2.81

=====

10.
# RuRhF3, relaxed, DFT PBE-GGA
data_RuRhF3
_cell_length_a 4.2164
_cell_length_b 4.2164
_cell_length_c 4.2164
_cell_angle_alpha 90.00
_cell_angle_beta 90.00
_cell_angle_gamma 90.00
_space_group_name_H-M_alt 'P m -3 m'
_space_group_IT_number 221
_space_group_name_Hall '-P 4 2 3'
loop_
_atom_site_label
_atom_site_type_symbol
_atom_site_fract_x
_atom_site_fract_y
_atom_site_fract_z
Ru1 Ru 0.0000 0.0000 0.0000
Rh1 Rh 0.5000 0.5000 0.5000
F1 F 0.0000 0.5000 0.5000
# Mass density in g/cm3: 5.781
# Polymorph energy (0 for the lowest one) in meV/atom: 108
# N(E_F) in states/eV/f.u.: 3.748
# ΔE_f (raw) in eV per atom: -0.19

=====

11.
# AsRuCl2, relaxed, DFT PBE-GGA
data_AsRuCl2
_cell_length_a 2.9943
_cell_length_b 4.3415
_cell_length_c 5.4460
_cell_angle_alpha 90.00
_cell_angle_beta 90.00
_cell_angle_gamma 90.00
_space_group_name_H-M_alt 'P m m m'
_space_group_IT_number 47
_space_group_name_Hall '-P 2 2'
loop_
_atom_site_label
_atom_site_type_symbol
_atom_site_fract_x
_atom_site_fract_y
_atom_site_fract_z
As1 As 0.0000 0.0000 0.0000
Ru1 Ru 0.5000 0.0000 0.5000
Cl1 Cl 0.0000 0.5000 0.5000
Cl2 Cl 0.5000 0.5000 0.0000
# Mass density in g/cm3: 5.791
# Polymorph energy (0 for the lowest one) in meV/atom: 881
# N(E_F) in states/eV/f.u.: 4.528
# ΔE_f (raw) in eV per atom: 0.56

=====

12.
# DyHoH4, relaxed, DFT PBE-GGA
data_DyHoH4
_cell_length_a 5.1469
_cell_length_b 5.1469
_cell_length_c 10.3889
_cell_angle_alpha 90.00
_cell_angle_beta 90.00
_cell_angle_gamma 90.00
_space_group_name_H-M_alt 'I 41/a m d'
_space_group_IT_number 141
loop_
_space_group_symop_operation_xyz
'x,y,z'
'-x,-y,-z'
'-y+1/4,x+3/4,z+1/4'
'y+1/4,-x+3/4,-z+1/4'
'-x+1/2,-y,z+1/2'
'x+1/2,y,-z+1/2'
'y+1/4,-x+1/4,z+3/4'
'-y+1/4,x+1/4,-z+3/4'
'x,-y,-z'
'-x,y,z'
'-y+1/4,-x+1/4,-z+3/4'
'y+1/4,x+1/4,z+3/4'
'-x+1/2,y,-z+1/2'
'x+1/2,-y,z+1/2'
'y+1/4,x+3/4,-z+1/4'
'-y+1/4,-x+3/4,z+1/4'
'x+1/2,y+1/2,z+1/2'
'-x+1/2,-y+1/2,-z+1/2'
'-y+3/4,x+1/4,z+3/4'
'y+3/4,-x+1/4,-z+3/4'
'-x,-y+1/2,z'
'x,y+1/2,-z'
'y+3/4,-x+3/4,z+1/4'
'-y+3/4,x+3/4,-z+1/4'
'x+1/2,-y+1/2,-z+1/2'
'-x+1/2,y+1/2,z+1/2'
'-y+3/4,-x+3/4,-z+1/4'
'y+3/4,x+3/4,z+1/4'
'-x,y+1/2,-z'
'x,-y+1/2,z'
'y+3/4,x+1/4,-z+3/4'
'-y+3/4,-x+1/4,z+3/4'
loop_
_atom_site_label
_atom_site_type_symbol
_atom_site_fract_x
_atom_site_fract_y
_atom_site_fract_z
Dy1 Dy 0.0000 0.2500 0.3750
Ho1 Ho 0.0000 0.2500 0.8750
H1 H 0.2482 0.0000 0.0000
# Mass density in g/cm3: 8.000
# Calculated total energy in eV per atom: -4.47
# N(E_F) in states/eV/f.u.: 1.711